(1)
VASP calculation (PBE) on a relaxed TlFeNi2P crystal.

a = 4.3859 Å, b = 4.3859 Å, c = 4.9208 Å
α = 90.00°, β = 90.00°, γ = 90.00°
With the nearest neighbours (Å) after each atom.
Space group P4/mmm (No. 123)
Symmetry-distinct sites (fractional):
Tl: 0.0000 0.0000 0.0000 (multiplicity 1)  2 Fe 2.46
Fe: 0.0000 0.0000 0.5000 (multiplicity 1)  4 Ni 2.19
Ni: 0.0000 0.5000 0.5000 (multiplicity 2)  2 Fe 2.19
P: 0.5000 0.5000 0.0000 (multiplicity 1)  4 Tl 3.10, 8 Ni 3.30

Output
energy relative to the elements	1.142	eV/atom

---

(2)
VASP calculation (PBE) on a relaxed Rb3La2BiTe6 crystal.

a = 8.1555 Å, b = 14.1261 Å, c = 8.9808 Å
α = 90.00°, β = 107.63°, γ = 90.00°
With the nearest neighbours (Å) after each atom.
Space group C2/m (No. 12)
Symmetry-distinct sites (fractional):
Rb: 0.0000 0.0000 0.0000 (multiplicity 2)  6 Te 3.70-3.74
Rb: 0.0000 0.3328 0.0000 (multiplicity 4)  6 Te 3.70-3.73
La: 0.0000 0.1666 0.5000 (multiplicity 4)  6 Te 3.25
Bi: 0.0000 0.5000 0.5000 (multiplicity 2)  6 Te 3.20
Te: 0.2325 0.3358 0.7051 (multiplicity 8)  1 Bi 3.20, 2 La 3.25
Te: 0.2402 0.0000 0.7053 (multiplicity 4)  1 Bi 3.20, 2 La 3.25

Output
formation energy (no corrections)	-1.193	eV/atom

---

(3)
VASP calculation (PBE) on a relaxed CdNi3S crystal.

a = 4.6794 Å, b = 4.6794 Å, c = 4.6794 Å
α = 90.00°, β = 90.00°, γ = 90.00°
With the nearest neighbours (Å) after each atom.
Space group Pm-3m (No. 221)
Symmetry-distinct sites (fractional):
Cd: 0.0000 0.0000 0.0000 (multiplicity 1)  6 Ni 2.34
Ni: 0.0000 0.0000 0.5000 (multiplicity 3)  2 Cd 2.34
S: 0.5000 0.5000 0.5000 (multiplicity 1)  12 Ni 3.31

Output
formation energy (no corrections)	1.487	eV/atom
energy above the lowest structure with this stoichiometry	1571	meV/atom

---

| no. | DFT total energy (eV/atom) |
| --- | --- |
| 1 | -4.419 |
| 2 | -4.150 |
| 3 | -2.990 |